DFT (PBE) results for CePm2In after structural relaxation. Values from VASP.

Energy above the lowest structure with this stoichiometry ... 40 meV/atom
Volume ... 30.016 Å³/atom
Energy relative to the elements ... -0.19 eV/atom

Cell and atoms, written as Quantum ESPRESSO input:
```
&SYSTEM
  ibrav = 0, nat = 4, ntyp = 3
/
ATOMIC_SPECIES
Ce 140.12 Ce.upf
Pm 145.00 Pm.upf
In 114.82 In.upf
ATOMIC_POSITIONS crystal
Ce 0.5000 0.5000 0.5000
Pm 0.0000 0.0000 0.2350
Pm 0.0000 0.0000 0.7650
In 0.5000 0.5000 0.0000
CELL_PARAMETERS angstrom
3.6355 0.0000 0.0000
0.0000 3.6355 0.0000
0.0000 0.0000 9.0844
```